Sm2Er2Sb3: optimized geometry, PBE-GGA.

Values from the calculation:
Crystal system   cubic
V   28.31 Å³/atom
Density   8.4 g/cm3
Calculated total energy   -75.72 eV per cell
Formation energy without anion corrections   -990 meV/atom
SG   I2_13 (199)

abc: 8.015 8.015 8.015
angles: 109.47 109.47 109.47
Fractional coordinates of all 14 atoms:
Sm 0.500 0.351 0.500
Sm 0.000 0.000 0.351
Sm 0.649 0.149 0.149
Sm 0.851 0.500 0.000
Er 0.000 0.000 0.860
Er 0.500 0.860 0.500
Er 0.140 0.640 0.640
Er 0.360 0.500 0.000
Sb 0.750 0.631 0.381
Sb 0.250 0.869 0.119
Sb 0.619 0.750 0.869
Sb 0.881 0.250 0.631
Sb 0.369 0.119 0.750
Sb 0.131 0.381 0.250

---

Ba2In4HgPb3: optimized geometry, PBE-GGA.

Values from the calculation:
Crystal system   tetragonal
Energy of formation from the pure elements   -0.27 eV/atom
V   33.83 Å³/atom
Density   7.6 g/cm3
Calculated total energy   -28.95 eV per cell
SG   P-4m2 (115)

abc: 5.196 5.196 12.531
angles: 90.00 90.00 90.00
Fractional coordinates of all 10 atoms:
Ba 0.500 0.000 0.258
Ba 0.000 0.500 0.742
In 0.500 0.500 0.000
In 0.000 0.000 0.000
In 0.500 0.000 0.625
In 0.000 0.500 0.375
Hg 0.500 0.500 0.500
Pb 0.000 0.000 0.500
Pb 0.500 0.000 0.863
Pb 0.000 0.500 0.137